Density functional theory data (PBE-GGA) for Ba2LiGaCu after structural relaxation.

extended XYZ file:
```
5
Lattice="6.2728 0.0000 0.0000 0.0000 6.2728 0.0000 0.0000 0.0000 4.6575" Properties=species:S:1:pos:R:3 pbc="T T T"
Cu 0.0000 0.0000 0.0000
Ba 0.0000 3.1364 0.0000
Ba 3.1364 0.0000 0.0000
Ga 0.0000 0.0000 2.3288
Li 3.1364 3.1364 2.3288
```

Summary:
The calculation puts the energy relative to the elements at -0.05 eV/atom. The space-group type is P4/mmm. The calculated volume comes out at 183.3 Å³ per cell.

=====

Density functional theory data (PBE-GGA) for BaLiGa2Cu after structural relaxation.

extended XYZ file:
```
5
Lattice="4.7892 0.0000 0.0000 0.0000 4.7892 0.0000 0.0000 0.0000 5.0408" Properties=species:S:1:pos:R:3 pbc="T T T"
Cu 0.0000 0.0000 0.0000
Ba 2.3946 2.3946 2.5204
Ga 0.0000 2.3946 0.0000
Ga 2.3946 0.0000 0.0000
Li 0.0000 0.0000 2.5204
```

Summary:
The calculation puts the energy relative to the elements at -0.18 eV/atom. The space-group type is P4/mmm. The calculated volume comes out at 115.6 Å³ per cell.

=====

Density functional theory data (PBE-GGA) for BaLi2GaCu after structural relaxation.

extended XYZ file:
```
5
Lattice="-4.0490 -2.5344 -1.6385 2.9921 -3.7290 -1.6260 -0.3671 -2.1198 4.1860" Properties=species:S:1:pos:R:3 pbc="T T T"
Cu 0.0000 0.0000 0.0000
Ba -0.7120 -4.1916 0.4608
Ga -0.1835 -1.0599 2.0930
Li 1.4960 -1.8645 -0.8130
Li -2.0245 -1.2672 -0.8192
```

Summary:
Its energy above the most stable polymorph in this dataset is 0 meV per atom. The calculation puts the energy relative to the elements at -0.09 eV/atom. The space-group type is P4/mmm. The calculated volume comes out at 120.0 Å³ per cell.

=====

Density functional theory data (PBE-GGA) for Ba2LiGa2Cu after structural relaxation.

extended XYZ file:
```
12
Lattice="6.3086 0.0000 0.0000 0.0000 7.1261 0.0000 -3.1543 -3.5630 7.4854" Properties=species:S:1:pos:R:3 pbc="T T T"
Ba 1.5158 0.0000 2.4084
Ba 1.6385 3.5630 5.0770
Ba -1.6385 0.0000 5.0770
Ba 4.7928 3.5630 2.4084
Li 0.0000 5.3446 0.0000
Li 0.0000 1.7815 0.0000
Ga 4.5884 0.0000 1.1349
Ga 1.7202 3.5630 1.1349
Ga 1.4341 0.0000 6.3505
Ga -1.4341 3.5630 6.3505
Cu 3.1543 5.3446 0.0000
Cu 3.1543 1.7815 0.0000
```

Summary:
The calculation puts the energy relative to the elements at -0.24 eV/atom. The space-group type is Ibam. The calculated volume comes out at 336.5 Å³ per cell.

=====

Density functional theory data (PBE-GGA) for BaMg2GaCu after structural relaxation.

extended XYZ file:
```
5
Lattice="5.0920 0.0000 0.0000 0.0000 5.0920 0.0000 0.0000 0.0000 4.8517" Properties=species:S:1:pos:R:3 pbc="T T T"
Mg 0.0000 2.5460 0.0000
Mg 2.5460 0.0000 0.0000
Cu 0.0000 0.0000 0.0000
Ba 2.5460 2.5460 2.4258
Ga 0.0000 0.0000 2.4258
```

Summary:
The calculation puts the energy relative to the elements at -0.10 eV/atom. The space-group type is P4/mmm. The calculated volume comes out at 125.8 Å³ per cell.

=====

Density functional theory data (PBE-GGA) for Ba2MgGaCu after structural relaxation.

extended XYZ file:
```
5
Lattice="-1.6992 1.7869 5.7348 -5.8628 -1.7905 -1.1792 0.9723 -4.2443 1.6106" Properties=species:S:1:pos:R:3 pbc="T T T"
Mg -3.2949 -2.1240 3.0831
Cu 0.0000 0.0000 0.0000
Ba -2.9314 -0.8953 -0.5896
Ba -0.8496 0.8934 2.8674
Ga 0.4861 -2.1221 0.8053
```

Summary:
The calculation puts the energy relative to the elements at -0.06 eV/atom. The space-group type is P4/mmm. The calculated volume comes out at 180.9 Å³ per cell.

=====

Density functional theory data (PBE-GGA) for BaMgGaCu after structural relaxation.

extended XYZ file:
```
4
Lattice="4.5943 0.0000 0.0000 2.2972 3.9788 0.0000 2.2972 1.3263 5.9122" Properties=species:S:1:pos:R:3 pbc="T T T"
Ba 6.8915 3.9788 3.4661
Mg 2.2972 1.3263 0.6404
Ga 2.2972 1.3263 5.8904
Cu 4.5943 2.6525 0.7774
```

Summary:
The calculation puts the energy relative to the elements at -0.19 eV/atom. The space-group type is R3m. The calculated volume comes out at 108.1 Å³ per cell.

=====

Density functional theory data (PBE-GGA) for BaNaGa2Cu after structural relaxation.

extended XYZ file:
```
5
Lattice="4.8501 0.0000 0.0000 0.0000 4.8501 0.0000 0.0000 0.0000 5.2997" Properties=species:S:1:pos:R:3 pbc="T T T"
Na 0.0000 0.0000 2.6499
Cu 0.0000 0.0000 0.0000
Ba 2.4250 2.4250 2.6499
Ga 0.0000 2.4250 0.0000
Ga 2.4250 0.0000 0.0000
```

Summary:
The calculation puts the energy relative to the elements at -0.09 eV/atom. The space-group type is P4/mmm. The calculated volume comes out at 124.7 Å³ per cell.

=====

Density functional theory data (PBE-GGA) for BaNbGa2Cu after structural relaxation.

extended XYZ file:
```
5
Lattice="-0.1440 5.0547 -2.1386 -4.9203 0.3224 1.0935 1.2309 2.1146 4.9150" Properties=species:S:1:pos:R:3 pbc="T T T"
Nb -1.9167 3.7458 1.9350
Cu -2.4601 0.1612 0.5467
Ba 0.0000 0.0000 0.0000
Ga 0.6154 1.0573 2.4575
Ga -0.0720 2.5273 -1.0693
```

Summary:
The calculation puts the energy relative to the elements at 1.88 eV/atom. The space-group type is P4/mmm. The calculated volume comes out at 152.2 Å³ per cell.

=====

Density functional theory data (PBE-GGA) for BaGaCuNi after structural relaxation.

extended XYZ file:
```
4
Lattice="4.2777 0.0000 0.0000 -2.1388 3.7075 -0.0005 0.0000 -2.4649 5.6157" Properties=species:S:1:pos:R:3 pbc="T T T"
Ba 2.1388 -0.3470 2.7348
Ga 0.0000 0.8859 0.0464
Cu 0.0000 0.8892 5.2193
Ni 2.1389 2.1200 0.2387
```

Summary:
The calculation puts the energy relative to the elements at -0.26 eV/atom. The space-group type is R3m. The calculated volume comes out at 89.1 Å³ per cell.

=====

Density functional theory data (PBE-GGA) for Ba2GaCuO4 after structural relaxation.

extended XYZ file:
```
16
Lattice="4.7138 0.0000 0.0000 2.3569 5.7763 0.0000 2.3569 0.0000 9.8529" Properties=species:S:1:pos:R:3 pbc="T T T"
Ba 2.3569 0.0000 6.4021
Ba 4.7138 0.0000 3.4508
Ba 5.8923 2.8881 8.3773
Ba 5.8923 2.8881 1.4756
Ga 3.5354 2.8881 4.9264
Ga 2.3569 0.0000 0.0000
Cu 5.8923 2.8881 4.9264
Cu 0.0000 0.0000 0.0000
O 3.6507 4.5164 0.9981
O 3.6507 1.2599 8.8548
O 8.1339 4.5164 8.8548
O 3.4201 1.2599 0.9981
O 4.5985 4.1481 3.9283
O 4.5985 1.6282 5.9246
O 7.1861 4.1481 5.9246
O 2.4722 1.6282 3.9283
```

Summary:
Its formation energy without anion corrections is -1.762 eV per atom. The space-group type is Fddd. The calculated volume comes out at 268.3 Å³ per cell.

=====

Density functional theory data (PBE-GGA) for BaGa2CuOs after structural relaxation.

extended XYZ file:
```
5
Lattice="-1.6347 2.6518 -3.6866 -2.2430 -3.8784 -1.7952 -4.1304 1.1561 2.6630" Properties=species:S:1:pos:R:3 pbc="T T T"
Cu -2.0652 0.5781 1.3315
Os 0.0000 0.0000 0.0000
Ba -4.0040 -0.0352 -1.4094
Ga -1.1215 -1.9392 -0.8976
Ga -0.8173 1.3259 -1.8433
```

Summary:
The calculation puts the energy relative to the elements at -0.15 eV/atom. The space-group type is P4/mmm. The calculated volume comes out at 117.6 Å³ per cell.